1.
Compound: NaSrIn2
Source: Alexandria via LeMat-Bulk
Functional: PBE-GGA
Structure: optimized geometry

Output
formation enthalpy at 0 K = -0.24 eV per atom
ΔE to the lowest computed polymorph = 71 meV per atom
space-group type = No. 123
spin magnetization = 0.00 μB per cell

a = 4.0778 Å, b = 5.5220 Å, c = 5.5220 Å
α = 90.00°, β = 90.00°, γ = 90.00°
Positions (direct):
1 Sr 0.5000 0.5000 0.5000
2 In 0.0000 0.5000 0.0000
3 In 0.0000 0.0000 0.5000
4 Na 0.5000 0.0000 0.0000

***

2.
Compound: NaSr8In2
Source: Alexandria via LeMat-Bulk
Functional: PBE-GGA
Structure: optimized geometry

Output
formation enthalpy at 0 K = -0.14 eV per atom
space-group type = No. 8
spin magnetization = 0.00 μB per cell

a = 6.0843 Å, b = 8.4682 Å, c = 10.7775 Å
α = 113.12°, β = 106.37°, γ = 90.06°
Positions (direct):
1 Sr 0.6368 0.2617 0.9092
2 Sr 0.5252 0.7226 0.6862
3 Sr 0.9262 0.4328 0.4893
4 Sr 0.9733 0.0257 0.5831
5 Sr 0.7480 0.9452 0.1317
6 Sr 0.1379 0.5492 0.9089
7 Sr 0.3458 0.8528 0.3288
8 Sr 0.2991 0.3519 0.2351
9 Na 0.1367 0.9720 0.9092
10 In 0.4687 0.2762 0.5758
11 In 0.8023 0.6098 0.2427